CaAs2PdO6 | Alexandria via LeMat-Bulk | GGA-PBE | optimized geometry; SG = C2/c (15); N(E_F) = 0.17 states/eV/cell; formation energy from raw total energies = -1364 meV per atom; spin magnetization = 0.0 Bohr magnetons per cell
1.0
-0.0409 -6.4779 -0.0170
1.9185 -2.1845 6.1515
-5.9640 -2.1251 2.4918
Ca As Pd O
2 4 2 12
direct
0.2500 0.8676 0.1324
0.7500 0.1324 0.8676
0.2528 0.7112 0.6621
0.2472 0.3379 0.2888
0.7472 0.2888 0.3379
0.7528 0.6621 0.7112
0.2500 0.3303 0.6697
0.7500 0.6697 0.3303
0.1358 0.9048 0.8270
0.3642 0.1730 0.0952
0.8642 0.0952 0.1730
0.6358 0.8270 0.9048
0.4105 0.8048 0.4235
0.0895 0.5765 0.1952
0.5895 0.1952 0.5765
0.9105 0.4235 0.8048
0.9940 0.7724 0.5625
0.5060 0.4375 0.2276
0.0060 0.2276 0.4375
0.4940 0.5625 0.7724